# 1
A plane-wave DFT calculation with PBE was carried out for a geometry-optimized ZnMo2As structure.

Computed properties:
Its energy of formation is 0.297 eV per atom. The space group is Cmmm. The relative energy among the computed polymorphs is 1.08 eV per formula unit.

a = 2.839 Å, b = 2.839 Å, c = 8.358 Å
α = 90.00°, β = 90.00°, γ = 110.47°
Atoms (fractional coordinates):
As: 0.500 0.500 0.750
Mo: 0.000 0.000 0.989
Mo: 0.000 0.000 0.511
Zn: 0.500 0.500 0.250

# 2
A plane-wave DFT calculation with PBE was carried out for a geometry-optimized Er7Ga2Te2 structure.

Computed properties:
The uncorrected formation energy comes out at -0.36 eV/atom. The space group is C2/m. The relative energy among the computed polymorphs is 3.95 eV per formula unit.

a = 6.700 Å, b = 7.359 Å, c = 6.700 Å
α = 96.68°, β = 105.77°, γ = 83.32°
Atoms (fractional coordinates):
Er: 0.029 0.713 0.560
Er: 0.000 0.000 0.000
Er: 0.490 0.281 0.510
Er: 0.440 0.713 0.971
Er: 0.510 0.719 0.490
Er: 0.971 0.287 0.440
Er: 0.560 0.287 0.029
Te: 0.284 0.039 0.716
Te: 0.716 0.961 0.284
Ga: 0.831 0.500 0.831
Ga: 0.169 0.500 0.169

# 3
A plane-wave DFT calculation with PBE was carried out for a geometry-optimized PaBeSi2Tc structure.

Computed properties:
The uncorrected formation energy comes out at -0.45 eV/atom. The space group is I-4m2.

a = 3.889 Å, b = 3.889 Å, c = 5.911 Å
α = 109.21°, β = 109.21°, γ = 90.00°
Atoms (fractional coordinates):
Si: 0.615 0.615 0.230
Si: 0.385 0.385 0.770
Tc: 0.250 0.750 0.500
Pa: 0.000 0.000 0.000
Be: 0.750 0.250 0.500

Number 1: calculated volume 63 Å³/cell, spin magnetization 0.00 μB/f.u.. Number 2: calculated volume 314 Å³/cell, spin magnetization 0.00 μB/f.u.. Number 3: calculated volume 79 Å³/cell, spin magnetization 0.00 μB/f.u..